# PBE with a Hubbard U Ni2BiB2O6, relaxed
data_Ni2BiB2O6
_chemical_formula_sum 'Ni2 Bi1 B2 O6'
_space_group_name_H-M_alt 'P -3'
_space_group_IT_number 147
_cell_length_a 5.1191
_cell_length_b 5.1191
_cell_length_c 6.1051
_cell_angle_alpha 90.00
_cell_angle_beta 90.00
_cell_angle_gamma 120.00
loop_
_space_group_symop_operation_xyz
'x,y,z'
'-x,-y,-z'
'-y,x-y,z'
'y,-x+y,-z'
'-x+y,-x,z'
'x-y,x,-z'
loop_
_atom_site_label
_atom_site_type_symbol
_atom_site_fract_x
_atom_site_fract_y
_atom_site_fract_z
Ni1 Ni 0.3333 0.6667 0.3391
Bi1 Bi 0.0000 0.0000 0.0000
B1 B 0.3333 0.6667 0.7585
O1 O 0.0599 0.6621 0.7593
# spin magnetization = 2.99 μB/cell
# calculated total energy = -68.0 eV per cell